*P*
Ca2ZrPd: optimized geometry, PBE-GGA.

Structure (POSCAR):
```
Ca2ZrPd
1.0
8.7208 0.0000 0.0000
0.0000 8.7208 0.0000
0.0000 0.0000 5.8577
Ca Zr Pd
8 4 4
Direct
0.1810 0.2500 0.1250 Ca
0.2500 0.6810 0.3750 Ca
0.2500 0.8190 0.8750 Ca
0.3190 0.2500 0.6250 Ca
0.6810 0.7500 0.6250 Ca
0.7500 0.1810 0.8750 Ca
0.7500 0.3190 0.3750 Ca
0.8190 0.7500 0.1250 Ca
0.0000 0.0000 0.5000 Zr
0.0000 0.5000 0.7500 Zr
0.5000 0.0000 0.2500 Zr
0.5000 0.5000 0.0000 Zr
0.0000 0.0000 0.0000 Pd
0.0000 0.5000 0.2500 Pd
0.5000 0.0000 0.7500 Pd
0.5000 0.5000 0.5000 Pd
```

Summary:
SG: I-42d (122)
Calculated volume: 27.8 Å³ per atom



*Q*
Ca2ZrPd: optimized geometry, PBE-GGA.

Structure (POSCAR):
```
Ca2ZrPd
1.0
7.4557 0.0000 0.0000
0.0000 7.4557 0.0000
0.0000 0.0000 7.4557
Ca Zr Pd
8 4 4
Direct
0.2500 0.2500 0.2500 Ca
0.2500 0.2500 0.7500 Ca
0.2500 0.7500 0.2500 Ca
0.2500 0.7500 0.7500 Ca
0.7500 0.2500 0.2500 Ca
0.7500 0.2500 0.7500 Ca
0.7500 0.7500 0.2500 Ca
0.7500 0.7500 0.7500 Ca
0.0000 0.0000 0.0000 Zr
0.0000 0.5000 0.5000 Zr
0.5000 0.0000 0.5000 Zr
0.5000 0.5000 0.0000 Zr
0.0000 0.0000 0.5000 Pd
0.0000 0.5000 0.0000 Pd
0.5000 0.0000 0.0000 Pd
0.5000 0.5000 0.5000 Pd
```

Summary:
SG: Fm-3m (225)
Calculated volume: 25.9 Å³ per atom



*P* comes first in stability; the runner-up is 7.3 kJ/mol of atoms higher.



*P*
CaZr3Pd: optimized geometry, PBE-GGA.

Structure (POSCAR):
```
CaZr3Pd
1.0
5.1872 0.0000 0.0000
0.0000 5.1872 0.0000
0.0000 0.0000 5.1872
Ca Zr Pd
1 3 1
Direct
0.0000 0.0000 0.0000 Ca
0.0000 0.5000 0.5000 Zr
0.5000 0.0000 0.5000 Zr
0.5000 0.5000 0.0000 Zr
0.5000 0.5000 0.5000 Pd
```

Summary:
SG: Pm-3m (221)
Calculated volume: 27.9 Å³ per atom



*Q*
CaZr3Pd: optimized geometry, PBE-GGA.

Structure (POSCAR):
```
CaZr3Pd
1.0
4.9865 0.0000 0.0000
0.0000 4.9865 0.0000
0.0000 0.0000 4.9865
Ca Zr Pd
1 3 1
Direct
0.0000 0.0000 0.0000 Ca
0.0000 0.0000 0.5000 Zr
0.0000 0.5000 0.0000 Zr
0.5000 0.0000 0.0000 Zr
0.5000 0.5000 0.5000 Pd
```

Summary:
SG: Pm-3m (221)
Calculated volume: 24.8 Å³ per atom



*P* comes first in stability; the runner-up is 123.4 kJ/mol of atoms higher.